A plane-wave DFT calculation with PBE was carried out for an optimized crystal structure of LiScSn2Se4.

Computed properties:
- V: 194.5 Å³ per cell
- Energy relative to the elements, uncorrected: -7.50 eV/f.u.
- Magnetization: 0.0 Bohr magnetons per cell

a b c (Å): 7.007 4.075 7.183
angles (deg): 90.00 108.47 90.00
Space group P2/m (No. 10)
Inequivalent atoms, fractional coordinates:
Li  0.000  0.000  0.000 (multiplicity 1)
Sc  0.500  0.500  0.000 (multiplicity 1)
Sn  0.000  0.500  0.500 (multiplicity 1)
Sn  0.500  0.000  0.500 (multiplicity 1)
Se  0.250  0.500  0.224 (multiplicity 2)
Se  0.263  0.000  0.778 (multiplicity 2)



A plane-wave DFT calculation with PBE was carried out for an optimized crystal structure of LiScSnSe2.

Computed properties:
- V: 163.6 Å³ per cell
- Energy relative to the elements, uncorrected: 0.88 eV/f.u.
- Magnetization: 0.0 Bohr magnetons per cell

a b c (Å): 5.524 5.524 5.360
angles (deg): 90.00 90.00 90.00
Space group P4/mmm (No. 123)
Inequivalent atoms, fractional coordinates:
Li  0.000  0.000  0.000 (multiplicity 1)
Sc  0.500  0.500  0.000 (multiplicity 1)
Sn  0.500  0.500  0.500 (multiplicity 1)
Se  0.000  0.500  0.500 (multiplicity 2)



A plane-wave DFT calculation with PBE was carried out for an optimized crystal structure of SrLiScSe3.

Computed properties:
- V: 292.3 Å³ per cell
- Energy relative to the elements, uncorrected: -10.20 eV/f.u.
- Magnetization: 0.0 Bohr magnetons per cell

a b c (Å): 8.341 4.059 8.961
angles (deg): 90.00 105.54 90.00
Space group P2_1/m (No. 11)
Inequivalent atoms, fractional coordinates:
Sr  0.201  0.250  0.245 (multiplicity 2)
Li  0.088  0.250  0.591 (multiplicity 2)
Sc  0.327  0.750  0.842 (multiplicity 2)
Se  0.112  0.250  0.872 (multiplicity 2)
Se  0.230  0.750  0.526 (multiplicity 2)
Se  0.450  0.750  0.159 (multiplicity 2)



A plane-wave DFT calculation with PBE was carried out for an optimized crystal structure of SrLiSc2Se4.

Computed properties:
- V: 734.2 Å³ per cell
- Energy relative to the elements, uncorrected: -13.37 eV/f.u.
- Magnetization: 0.0 Bohr magnetons per cell

a b c (Å): 4.034 13.223 13.764
angles (deg): 90.00 90.00 90.00
Space group Cmcm (No. 63)
Inequivalent atoms, fractional coordinates:
Sr  0.000  0.122  0.250 (multiplicity 4)
Li  0.000  0.153  0.750 (multiplicity 4)
Sc  0.000  0.374  0.057 (multiplicity 8)
Se  0.000  0.000  0.000 (multiplicity 4)
Se  0.000  0.267  0.611 (multiplicity 8)
Se  0.000  0.447  0.250 (multiplicity 4)



A plane-wave DFT calculation with PBE was carried out for an optimized crystal structure of Li2TbSc3Se6.

Computed properties:
- V: 511.2 Å³ per cell
- Energy relative to the elements, uncorrected: -19.79 eV/f.u.
- Magnetization: 0.0 Bohr magnetons per cell

a b c (Å): 6.740 11.674 6.878
angles (deg): 90.00 109.13 90.00
Space group C2/m (No. 12)
Inequivalent atoms, fractional coordinates:
Li  0.000  0.168  0.000 (multiplicity 4)
Tb  0.000  0.500  0.000 (multiplicity 2)
Sc  0.000  0.000  0.500 (multiplicity 2)
Sc  0.000  0.335  0.500 (multiplicity 4)
Se  0.244  0.000  0.256 (multiplicity 4)
Se  0.244  0.171  0.744 (multiplicity 8)



A plane-wave DFT calculation with PBE was carried out for an optimized crystal structure of Li3TbSc2Se6.

Computed properties:
- V: 520.4 Å³ per cell
- Energy relative to the elements, uncorrected: -19.49 eV/f.u.
- Magnetization: 0.0 Bohr magnetons per cell

a b c (Å): 6.828 11.829 6.835
angles (deg): 90.00 109.49 90.00
Space group C2/m (No. 12)
Inequivalent atoms, fractional coordinates:
Li  0.000  0.000  0.000 (multiplicity 2)
Li  0.000  0.334  0.000 (multiplicity 4)
Tb  0.000  0.500  0.500 (multiplicity 2)
Sc  0.000  0.167  0.500 (multiplicity 4)
Se  0.236  0.000  0.748 (multiplicity 4)
Se  0.244  0.173  0.254 (multiplicity 8)



> Number 2 is which compound?

LiScSnSe2



> The lowest energy relative to the elements, uncorrected belongs to which entry?

Li2TbSc3Se6